(1)
Computed, not measured: crystalline LaMgRe2 at its relaxed geometry at the PBEsol level of DFT.

Properties
Electronic total energy, eV/cell: -33.2
Calculated volume, Å³ per cell: 79
Total moment, Bohr magnetons per cell: 0.00
Space-group type: P4mm (99)

CIF file:
```
data_LaMgRe2
_symmetry_space_group_name_H-M 'P 1'
_symmetry_Int_Tables_number 1
_cell_length_a 3.1025
_cell_length_b 3.1025
_cell_length_c 8.1987
_cell_angle_alpha 90.00
_cell_angle_beta 90.00
_cell_angle_gamma 90.00
loop_
_symmetry_equiv_pos_as_xyz
'x,y,z'
loop_
_atom_site_label
_atom_site_type_symbol
_atom_site_fract_x
_atom_site_fract_y
_atom_site_fract_z
_atom_site_occupancy
La1 La 0.0000 0.0000 0.0000 1
Mg1 Mg 0.5000 0.5000 0.3393 1
Re1 Re 0.0000 0.0000 0.5600 1
Re2 Re 0.5000 0.5000 0.7242 1
```

(2)
Computed, not measured: crystalline La2MgRe at its relaxed geometry at the PBEsol level of DFT.

Properties
Electronic total energy, eV/cell: -72.0
Calculated volume, Å³ per cell: 318
Total moment, Bohr magnetons per cell: 0.00
Space-group type: R-3m (166)

CIF file:
```
data_La2MgRe
_symmetry_space_group_name_H-M 'P 1'
_symmetry_Int_Tables_number 1
_cell_length_a 3.4210
_cell_length_b 3.4210
_cell_length_c 31.3872
_cell_angle_alpha 90.00
_cell_angle_beta 90.00
_cell_angle_gamma 120.00
loop_
_symmetry_equiv_pos_as_xyz
'x,y,z'
loop_
_atom_site_label
_atom_site_type_symbol
_atom_site_fract_x
_atom_site_fract_y
_atom_site_fract_z
_atom_site_occupancy
La1 La 0.0000 0.0000 0.2350 1
La2 La 0.0000 0.0000 0.7650 1
La3 La 0.3333 0.6667 0.4316 1
La4 La 0.3333 0.6667 0.9017 1
La5 La 0.6667 0.3333 0.0983 1
La6 La 0.6667 0.3333 0.5684 1
Mg1 Mg 0.0000 0.0000 0.0000 1
Mg2 Mg 0.3333 0.6667 0.6667 1
Mg3 Mg 0.6667 0.3333 0.3333 1
Re1 Re 0.0000 0.0000 0.5000 1
Re2 Re 0.3333 0.6667 0.1667 1
Re3 Re 0.6667 0.3333 0.8333 1
```